{
  "formula": "NbGaCoMo",
  "functional": "GGA-PBE",
  "state": "relaxed",
  "e_above_lowest_polymorph_mev_per_atom": 0,
  "e_tot_ev_per_atom": -7.7596,
  "spacegroup": "F-43m (216)",
  "lattice": [[0.000, 3.095, 3.095], [3.095, 0.000, 3.095], [3.095, 3.095, 0.000]],
  "species": ["Co", "Ga", "Mo", "Nb"],
  "fractional_positions": [[0.750, 0.750, 0.750], [0.000, 0.000, 0.000], [0.250, 0.250, 0.250], [0.500, 0.500, 0.500]]
}

---

{
  "formula": "LiPuGa",
  "functional": "GGA-PBE",
  "state": "relaxed",
  "e_above_lowest_polymorph_mev_per_atom": 0,
  "e_tot_ev_per_atom": -6.1331,
  "spacegroup": "F-43m (216)",
  "lattice": [[0.000, 3.206, 3.206], [3.206, 0.000, 3.206], [3.206, 3.206, 0.000]],
  "species": ["Ga", "Li", "Pu"],
  "fractional_positions": [[0.250, 0.250, 0.250], [0.000, 0.000, 0.000], [0.750, 0.750, 0.750]]
}

---

{
  "formula": "Sm3Se2N",
  "functional": "GGA-PBE",
  "state": "relaxed",
  "e_tot_ev_per_atom": -6.5748,
  "spacegroup": "P-3m1 (164)",
  "lattice": [[-0.544, -2.517, 2.881], [-0.066, -1.217, -3.667], [10.121, -1.735, 0.395]],
  "species": ["N", "Se", "Se", "Sm", "Sm", "Sm"],
  "fractional_positions": [[0.000, 0.000, 0.500], [0.333, 0.667, 0.182], [0.667, 0.333, 0.818], [0.000, 0.000, 0.000], [0.667, 0.333, 0.372], [0.333, 0.667, 0.628]]
}

---

{
  "formula": "Gd4MgI2",
  "functional": "GGA-PBE",
  "state": "relaxed",
  "e_tot_ev_per_atom": -3.2379,
  "spacegroup": "I4/mmm (139)",
  "lattice": [[-2.851, 2.851, 7.739], [2.851, -2.851, 7.739], [2.851, 2.851, -7.739]],
  "species": ["Gd", "Gd", "Gd", "Gd", "I", "I", "Mg"],
  "fractional_positions": [[0.192, 0.192, 0.000], [0.808, 0.808, 0.000], [0.500, 0.000, 0.500], [0.000, 0.500, 0.500], [0.389, 0.389, 0.000], [0.611, 0.611, 0.000], [0.000, 0.000, 0.000]]
}

---

{
  "formula": "Hf3SiN2",
  "functional": "GGA-PBE",
  "state": "relaxed",
  "e_tot_ev_per_atom": -9.9911,
  "spacegroup": "P6_3/mmc (194)",
  "lattice": [[-2.294, -2.114, -0.591], [2.180, -0.605, 2.228], [-10.914, 8.231, 12.915]],
  "species": ["Hf", "Hf", "Hf", "Hf", "Hf", "Hf", "N", "N", "N", "N", "Si", "Si"],
  "fractional_positions": [[0.000, 0.000, 0.000], [0.667, 0.333, 0.140], [0.667, 0.333, 0.360], [0.000, 0.000, 0.500], [0.333, 0.667, 0.640], [0.333, 0.667, 0.860], [0.333, 0.667, 0.069], [0.333, 0.667, 0.431], [0.667, 0.333, 0.569], [0.667, 0.333, 0.931], [0.000, 0.000, 0.250], [0.000, 0.000, 0.750]]
}

---

{
  "formula": "NaSmSi",
  "functional": "GGA-PBE",
  "state": "relaxed",
  "e_tot_ev_per_atom": -3.6255,
  "spacegroup": "F-43m (216)",
  "lattice": [[-2.084, -0.520, 4.397], [-3.611, -3.244, 0.628], [0.786, -4.061, 2.616]],
  "species": ["Na", "Si", "Sm"],
  "fractional_positions": [[0.250, 0.250, 0.250], [0.750, 0.750, 0.750], [0.000, 0.000, 0.000]]
}